This record from Alexandria describes a relaxed NdYNi2 crystal. The functional is GGA-PBE.

The energy above the most stable polymorph in this dataset is 0.000 eV/f.u. Its calculated volume is 21.13 Å³/atom. The value obtained for the calculated density is 6.89 Mg/m³.

The structure belongs to space group Amm2 (No. 38); the cell edges are 4.2597, 3.8182 and 10.3946 Å and the angles 90.00°, 90.00° and 90.00°. The distinct sites, in fractional coordinates, are Nd at (0.0000, 0.0000, 0.0000), Y at (0.5000, 0.0000, 0.7225), Ni at (0.0000, 0.0000, 0.2873) and Ni at (0.5000, 0.0000, 0.4283).


This record from Alexandria describes a relaxed NdYNi crystal. The functional is GGA-PBE.

The energy above the most stable polymorph in this dataset is 0.396 eV/f.u. Its calculated volume is 27.04 Å³/atom. The value obtained for the calculated density is 5.98 Mg/m³.

The structure belongs to space group Pm (No. 6); the cell edges are 5.3344, 4.5238 and 7.1533 Å and the angles 90.00°, 110.00° and 90.00°. The distinct sites, in fractional coordinates, are Nd at (0.0000, 0.0000, 0.0000), Nd at (0.4562, 0.5000, 0.3738), Y at (0.4707, 0.5000, 0.8726), Y at (0.9840, 0.0000, 0.5055), Ni at (0.5323, 0.0000, 0.6498) and Ni at (0.5614, 0.0000, 0.1355).


This record from Alexandria describes a relaxed NdYNi2 crystal. The functional is GGA-PBE.

The energy above the most stable polymorph in this dataset is 0.336 eV/f.u. Its calculated volume is 20.38 Å³/atom. The value obtained for the calculated density is 7.14 Mg/m³.

The structure belongs to space group P4/mmm (No. 123); the cell edges are 4.9034, 4.9034 and 3.3897 Å and the angles 90.00°, 90.00° and 90.00°. The distinct sites, in fractional coordinates, are Nd at (0.0000, 0.0000, 0.0000), Y at (0.5000, 0.5000, 0.0000) and Ni at (0.0000, 0.5000, 0.5000).


This record from Alexandria describes a relaxed NdZn4Ni crystal. The functional is GGA-PBE.

The energy above the most stable polymorph in this dataset is 0.000 eV/f.u. Its calculated volume is 17.94 Å³/atom. The value obtained for the calculated density is 7.17 Mg/m³.

The structure belongs to space group Cmcm (No. 63); the cell edges are 4.7119, 13.7801 and 6.6301 Å and the angles 90.00°, 90.00° and 90.00°. The distinct sites, in fractional coordinates, are Nd at (0.0000, 0.1032, 0.2500), Zn at (0.0000, 0.1154, 0.7500), Zn at (0.0000, 0.2839, 0.5587), Zn at (0.0000, 0.5000, 0.0000) and Ni at (0.0000, 0.3744, 0.2500).


This record from Alexandria describes a relaxed Nd3Zn7Ni4 crystal. The functional is GGA-PBE.

Its calculated volume is 17.48 Å³/atom. Its energy is -3.65 eV per atom. The value obtained for the calculated density is 7.64 Mg/m³.

The structure belongs to space group C2/m (No. 12); the cell edges are 15.0790, 4.2378 and 9.2191 Å and the angles 90.00°, 123.81° and 90.00°. The distinct sites, in fractional coordinates, are Nd at (0.0000, 0.0000, 0.0000), Nd at (0.1961, 0.5000, 0.7024), Zn at (0.0000, 0.0000, 0.5000), Zn at (0.0055, 0.5000, 0.2896), Zn at (0.1447, 0.0000, 0.4139), Zn at (0.1758, 0.5000, 0.0191), Ni at (0.1126, 0.0000, 0.8268) and Ni at (0.1690, 0.5000, 0.2899).


This record from Alexandria describes a relaxed Nd3Zn2Ni7 crystal. The functional is GGA-PBE.

Its calculated volume is 15.84 Å³/atom. Its energy is -5.12 eV per atom. The value obtained for the calculated density is 8.51 Mg/m³.

The structure belongs to space group R-3m (No. 166, hexagonal axes); the cell edges are 5.1956, 5.1956 and 24.3905 Å and the angles 90.00°, 90.00° and 120.00°. The distinct sites, in fractional coordinates, are Nd at (0.0000, 0.0000, 0.0000), Nd at (0.0000, 0.0000, 0.1398), Zn at (0.0000, 0.0000, 0.3323), Ni at (0.0000, 0.0000, 0.5000) and Ni at (0.0040, 0.5020, 0.0822).